Cd2CoP2O8: relaxed, PBE+U.

Its total energy is -80.57 eV/cell.

The space group is P-1 (No. 2) and the conventional cell measures 4.799, 5.581 and 6.720 Å, with angles of 74.19, 84.54 and 69.95 degrees. The inequivalent atoms are Cd at (0.208, 0.223, 0.182), Co at (0.500, 0.500, 0.500), P at (0.129, 0.174, 0.713), O at (0.140, 0.368, 0.840), O at (0.194, 0.806, 0.323), O at (0.272, 0.264, 0.500) and O at (0.291, 0.886, 0.827).